--- w ---
Zr2BeSbP: optimized geometry, GGA-PBE.

Cell: 5.343 5.343 4.973 Å, 90.00 90.00 90.00°
Fractional positions:
1 Zr 0.000 0.500 0.000
2 Zr 0.500 0.000 0.000
3 Be 0.000 0.000 0.500
4 Sb 0.500 0.500 0.000
5 P 0.500 0.500 0.500

--- x ---
Zr2BeSbP: optimized geometry, GGA-PBE.

Cell: 4.919 4.919 4.107 Å, 90.00 90.00 90.00°
Fractional positions:
1 Zr 0.000 0.500 0.000
2 Zr 0.500 0.000 0.000
3 Be 0.000 0.000 0.000
4 Sb 0.000 0.000 0.500
5 P 0.500 0.500 0.500

Stability ranking, top and bottom: x is the most stable and w is the least stable.